# MnAl3Ir4, optimized geometry, DFT PBE
data_MnAl3Ir4
_cell_length_a 3.019
_cell_length_b 4.280
_cell_length_c 8.571
_cell_angle_alpha 90.00
_cell_angle_beta 90.00
_cell_angle_gamma 90.00
_space_group_name_H-M_alt 'P m m m'
_space_group_IT_number 47
loop_
_space_group_symop_operation_xyz
'x,y,z'
'-x,-y,-z'
'-x,-y,z'
'x,y,-z'
'x,-y,-z'
'-x,y,z'
'-x,y,-z'
'x,-y,z'
loop_
_atom_site_label
_atom_site_type_symbol
_atom_site_fract_x
_atom_site_fract_y
_atom_site_fract_z
_atom_site_occupancy
Mn1 Mn 0.000 0.000 0.000 1
Al1 Al 0.000 0.000 0.500 1
Al2 Al 0.000 0.500 0.247 1
Ir1 Ir 0.500 0.000 0.255 1
Ir2 Ir 0.500 0.500 0.000 1
Ir3 Ir 0.500 0.500 0.500 1
# Energy: -62.0 eV/cell
# DOS at the Fermi energy: 0.306 states/eV per atom